1.
Computed, not measured: an optimized crystal structure of TlAgI2 at the PBEsol level of DFT.

abc: 8.202 8.202 8.206
angles: 90.00 90.00 90.00
Space group I-42d (No. 122)
Unique sites:
Tl 0.000 0.000 0.000 x4
Ag 0.000 0.000 0.500 x4
I 0.194 0.250 0.625 x8

Properties
**Magnetic moment**: 0.00 μB per formula unit
**Density of states at the Fermi level**: 0.000 states/eV per atom
**Offset from the most stable computed form**: 48 meV/atom
**Electronic total energy**: -2.706 eV per atom
**Uncorrected formation energy**: -0.337 eV per atom

---

2.
Computed, not measured: an optimized crystal structure of Sr2TaTe at the PBEsol level of DFT.

abc: 7.598 7.621 4.140
angles: 90.00 90.00 90.00
Space group Cmmm (No. 65)
Unique sites:
Sr 0.250 0.250 0.000 x4
Ta 0.000 0.000 0.500 x2
Te 0.000 0.500 0.500 x2

Properties
**Magnetic moment**: 3.56 μB per formula unit
**Density of states at the Fermi level**: 0.914 states/eV per atom
**Offset from the most stable computed form**: 83 meV/atom
**Electronic total energy**: -4.649 eV per atom
**Uncorrected formation energy**: 0.291 eV per atom

---

3.
Computed, not measured: an optimized crystal structure of Dy2YTaO7 at the PBEsol level of DFT.

abc: 7.371 10.424 7.424
angles: 90.00 90.00 90.00
Space group Cmcm (No. 63)
Unique sites:
Dy 0.232 0.232 0.250 x8
Y 0.000 0.500 0.000 x4
Ta 0.000 0.000 0.000 x4
O 0.000 0.069 0.250 x4
O 0.000 0.363 0.250 x4
O 0.000 0.371 0.750 x4
O 0.198 0.125 0.533 x16

Properties
**Magnetic moment**: 0.00 μB per formula unit
**Density of states at the Fermi level**: 0.000 states/eV per atom
**Electronic total energy**: -9.469 eV per atom
**Uncorrected formation energy**: -3.462 eV per atom

---

4.
Computed, not measured: an optimized crystal structure of ZrAsRu2 at the PBEsol level of DFT.

abc: 6.295 6.295 6.295
angles: 90.00 90.00 90.00
Space group F-43m (No. 216)
Unique sites:
Zr 0.000 0.000 0.000 x4
As 0.250 0.250 0.750 x4
Ru 0.000 0.000 0.500 x4
Ru 0.250 0.250 0.250 x4

Properties
**E_form**: -0.0001 eV/atom
**Magnetic moment**: 0.02 μB per formula unit
**Density of states at the Fermi level**: 1.609 states/eV per atom
**Electronic total energy**: -8.635 eV per atom

---

5.
Computed, not measured: an optimized crystal structure of CdMo3 at the PBEsol level of DFT.

abc: 3.184 4.437 9.177
angles: 90.00 90.00 90.00
Space group Cmmm (No. 65)
Unique sites:
Cd 0.000 0.000 0.000 x2
Mo 0.000 0.000 0.500 x2
Mo 0.000 0.500 0.267 x4

Properties
**E_form**: 0.2207 eV/atom
**Magnetic moment**: 0.00 μB per formula unit
**Density of states at the Fermi level**: 0.607 states/eV per atom
**Offset from the most stable computed form**: 0 meV/atom
**Electronic total energy**: -8.905 eV per atom

---

6.
Computed, not measured: an optimized crystal structure of Ti3NiIr at the PBEsol level of DFT.

abc: 4.357 4.357 4.357
angles: 90.00 90.00 90.00
Space group Pm-3m (No. 221)
Unique sites:
Ti 0.000 0.000 0.500 x3
Ni 0.000 0.000 0.000 x1
Ir 0.500 0.500 0.500 x1

Properties
**E_form**: 0.3614 eV/atom
**Magnetic moment**: 0.00 μB per formula unit
**Density of states at the Fermi level**: 1.517 states/eV per atom
**Electronic total energy**: -7.828 eV per atom

---

7.
Computed, not measured: an optimized crystal structure of NaIn at the PBEsol level of DFT.

abc: 7.284 7.284 7.284
angles: 90.00 90.00 90.00
Space group Fd-3m (No. 227, origin choice 2)
Unique sites:
Na 0.125 0.125 0.125 x8
In 0.125 0.125 0.625 x8

Properties
**E_form**: -0.1571 eV/atom
**Magnetic moment**: 0.00 μB per formula unit
**Density of states at the Fermi level**: 0.162 states/eV per atom
**Electronic total energy**: -2.348 eV per atom

---

8.
Computed, not measured: an optimized crystal structure of Al2CoIr at the PBEsol level of DFT.

abc: 2.7625 2.7625 24.5579
angles: 90.00 90.00 120.00
Space group R3m (No. 160, hexagonal axes)
Unique sites:
Al 0.0000 0.0000 0.0000 x3
Al 0.0000 0.0000 0.2391 x3
Co 0.0000 0.0000 0.7418 x3
Ir 0.0000 0.0000 0.4911 x3

Properties
**E_form**: -0.1842 eV/atom
**Magnetic moment**: 1.21 μB per formula unit
**Density of states at the Fermi level**: 0.540 states/eV per atom
**Offset from the most stable computed form**: 603 meV/atom
**Electronic total energy**: -6.620 eV per atom